1.
Material: ErZrHg2Au4
Method: DFT, PBE-GGA
State: optimized geometry

Output
**SG**: No. 123
**ΔE_f**: -0.46 eV per atom

a b c (Å): 4.848 4.848 6.844
angles (deg): 90.00 90.00 90.00
Atoms (fractional coordinates):
Au: 0.500 0.000 0.259
Au: 0.000 0.500 0.259
Au: 0.500 0.000 0.741
Au: 0.000 0.500 0.741
Er: 0.000 0.000 0.000
Hg: 0.500 0.500 0.000
Hg: 0.000 0.000 0.500
Zr: 0.500 0.500 0.500

---

2.
Material: PaCl2
Method: DFT, PBE-GGA
State: optimized geometry

Output
**SG**: No. 136
**VASP energy**: -33.69 eV per cell

a b c (Å): 7.038 7.038 3.390
angles (deg): 90.00 90.00 90.00
Site moments in Bohr magnetons follow the coordinates.
Atoms (fractional coordinates):
Cl: 0.277 0.277 0.000  -0.02
Cl: 0.723 0.723 0.000  -0.02
Cl: 0.777 0.223 0.500  -0.02
Cl: 0.223 0.777 0.500  -0.02
Pa: 0.000 0.000 0.000  1.85
Pa: 0.500 0.500 0.500  1.79

---

3.
Material: TlCoAgAu
Method: DFT, PBE-GGA
State: optimized geometry

Output
**SG**: No. 216
**Energy relative to the lowest polymorph listed for this composition**: 0.000 eV per atom

a b c (Å): 4.647 4.647 4.647
angles (deg): 60.00 60.00 60.00
Atoms (fractional coordinates):
Ag: 0.250 0.250 0.250
Au: 0.500 0.500 0.500
Co: 0.750 0.750 0.750
Tl: 0.000 0.000 0.000

---

| no. | total magnetic moment (μB/f.u.) |
| --- | --- |
| 1 | 0.003 |
| 2 | 2.303 |
| 3 | 1.325 |